The following is a DFT calculation (GGA-PBE) of a geometry-optimized AcSb4Se structure.

Properties
The calculation puts the formation energy from raw total energies at -0.27 eV/atom. The spin magnetization comes out at 0.00 μB/f.u.

Lattice parameters (Å, degrees): 8.874 8.874 8.874 90.00 90.00 90.00
Space group F-43m (No. 216)
Inequivalent atoms, fractional coordinates:
Ac  0.000  0.000  0.000 (multiplicity 4)
Sb  0.121  0.121  0.379 (multiplicity 16)
Se  0.250  0.250  0.750 (multiplicity 4)